Material: K2RbIn
Method: DFT, PBE
State: optimized geometry

Lattice parameters (Å, degrees): 6.6335 6.6335 16.2289 90.00 90.00 120.00
With the nearest neighbours (Å) after each atom.
Space group R3m (No. 160, hexagonal axes)
Inequivalent atoms, fractional coordinates:
K 0.0000 0.0000 0.0000 (multiplicity 3)  4 K 4.05-4.06, 4 Rb 4.06
K 0.0000 0.0000 0.2497 (multiplicity 3)  4 In 4.05-4.06, 4 K 4.05-4.06
Rb 0.0000 0.0000 0.7496 (multiplicity 3)  4 K 4.06, 4 In 4.06
In 0.0000 0.0000 0.4993 (multiplicity 3)  4 K 4.05-4.06, 4 Rb 4.06

Summary:
* calculated volume: 618.5 Å³ per cell
* ΔH_f (0 K): 75 meV/atom
* density: 2.24 g/cm3
* total magnetization: 0.17 μB per atom
* N(E_F): 1.35 states/eV/atom
* electronic total energy: -5.6 eV/f.u.